# YEr6Sc3 PBE relaxed
data_YEr6Sc3
_space_group_name_H-M_alt 'C m c 21'
_space_group_IT_number 36
_cell_length_a 9.313
_cell_length_b 20.254
_cell_length_c 6.189
_cell_angle_alpha 90.00
_cell_angle_beta 90.00
_cell_angle_gamma 90.00
loop_
_space_group_symop_operation_xyz
'x,y,z'
'-x,-y,z+1/2'
'-x,y,z'
'x,-y,z+1/2'
'x+1/2,y+1/2,z'
'-x+1/2,-y+1/2,z+1/2'
'-x+1/2,y+1/2,z'
'x+1/2,-y+1/2,z+1/2'
loop_
_atom_site_label
_atom_site_type_symbol
_atom_site_fract_x
_atom_site_fract_y
_atom_site_fract_z
Y1 Y 0.000 0.159 0.000
Er1 Er 0.000 0.014 0.780
Er2 Er 0.000 0.303 0.777
Er3 Er 0.177 0.281 0.313
Er4 Er 0.180 0.443 0.567
Sc1 Sc 0.000 0.417 0.090
Sc2 Sc 0.168 0.126 0.474
# - VASP energy (eV per atom) = -5.16
# - DOS at the Fermi energy (states/eV/cell) = 60.5
# - V (Å³ per atom) = 29.183
# - size of the total moment (μB/atom) = 0.00
# - ΔE_f (eV/f.u.) = 1.27